1.
A relaxed structure of NiP2CCl. Source: Alexandria via LeMat-Bulk, functional PBE-GGA.

The structure in POSCAR format:
```
NiP2CCl
1.0
4.344 0.000 0.000
0.000 4.344 0.000
0.000 0.000 4.638
Ni P C Cl
1 2 1 1
Direct
0.000 0.000 0.000
0.000 0.500 0.000
0.500 0.000 0.000
0.500 0.500 0.500
0.000 0.000 0.500
```

Output
E above lowest polymorph   382 meV/atom


2.
A relaxed structure of NiP2CCl. Source: Alexandria via LeMat-Bulk, functional PBE-GGA.

The structure in POSCAR format:
```
NiP2CCl
1.0
3.953 0.000 0.000
0.000 3.953 0.000
0.000 0.000 4.439
Ni P C Cl
1 2 1 1
Direct
0.000 0.000 0.000
0.000 0.500 0.500
0.500 0.000 0.500
0.500 0.500 0.500
0.500 0.500 0.000
```

Output
E above lowest polymorph   0 meV/atom


3.
A relaxed structure of NiPCCl2. Source: Alexandria via LeMat-Bulk, functional PBE-GGA.

The structure in POSCAR format:
```
NiPCCl2
1.0
5.020 0.000 0.000
0.000 5.020 0.000
0.000 0.000 3.480
Ni P C Cl
1 1 1 2
Direct
0.000 0.000 0.000
0.500 0.500 0.000
0.500 0.500 0.500
0.000 0.500 0.500
0.500 0.000 0.500
```

Output
E above lowest polymorph   0 meV/atom


4.
A relaxed structure of NiPb2CCl. Source: Alexandria via LeMat-Bulk, functional PBE-GGA.

The structure in POSCAR format:
```
NiPb2CCl
1.0
5.452 0.000 0.000
0.000 5.452 0.000
0.000 0.000 3.614
Ni Pb C Cl
1 2 1 1
Direct
0.000 0.000 0.000
0.000 0.500 0.500
0.500 0.000 0.500
0.000 0.000 0.500
0.500 0.500 0.000
```


Number 1: total DFT energy (no corrections) -0.28014 Ry/atom, formation energy (no corrections) 1.723 eV/atom. Number 2: total DFT energy (no corrections) -0.30822 Ry/atom, formation energy (no corrections) 1.341 eV/atom. Number 3: total DFT energy (no corrections) -0.25567 Ry/atom, formation energy (no corrections) 1.343 eV/atom. Number 4: total DFT energy (no corrections) -0.33461 Ry/atom, formation energy (no corrections) 0.301 eV/atom.